Record 1
Computed, not measured: an optimized crystal structure of NaCe2SmTe4 at the PBE-GGA level of DFT.

Density of states at the Fermi level in states/eV per cell: 15.77
E in eV/atom: -5.13
E_form (uncorrected) in meV/atom: -1325
Crystal system: monoclinic
Calculated volume in Å³ per cell: 257.4

a = 7.803 Å, b = 4.476 Å, c = 7.806 Å
α = 90.00°, β = 109.24°, γ = 90.00°
Fractional positions:
Na 0.000 0.000 0.000
Ce 0.000 0.500 0.500
Ce 0.500 0.000 0.500
Sm 0.500 0.500 0.000
Te 0.250 0.500 0.246
Te 0.251 0.000 0.755
Te 0.749 0.000 0.245
Te 0.750 0.500 0.754

Record 2
Computed, not measured: an optimized crystal structure of NaCeSm2Te4 at the PBE-GGA level of DFT.

Density of states at the Fermi level in states/eV per cell: 8.91
E in eV/atom: -5.01
E_form (uncorrected) in meV/atom: -1355
Crystal system: monoclinic
Calculated volume in Å³ per cell: 255.1

a = 7.761 Å, b = 4.452 Å, c = 7.811 Å
α = 90.00°, β = 109.07°, γ = 90.00°
Fractional positions:
Na 0.000 0.000 0.000
Ce 0.500 0.500 0.000
Sm 0.000 0.500 0.500
Sm 0.500 0.000 0.500
Te 0.247 0.000 0.748
Te 0.250 0.500 0.253
Te 0.750 0.500 0.747
Te 0.753 0.000 0.252

Record 3
Computed, not measured: an optimized crystal structure of NaCeSn6 at the PBE-GGA level of DFT.

Density of states at the Fermi level in states/eV per cell: 6.89
E in eV/atom: -4.21
Crystal system: tetragonal
Calculated volume in Å³ per cell: 211.8

a = 4.708 Å, b = 4.708 Å, c = 9.559 Å
α = 90.00°, β = 90.00°, γ = 90.00°
Fractional positions:
Na 0.000 0.000 0.000
Ce 0.000 0.000 0.500
Sn 0.000 0.500 0.246
Sn 0.000 0.500 0.754
Sn 0.500 0.000 0.246
Sn 0.500 0.000 0.754
Sn 0.500 0.500 0.000
Sn 0.500 0.500 0.500

Record 4
Computed, not measured: an optimized crystal structure of NaCeSn2 at the PBE-GGA level of DFT.

Density of states at the Fermi level in states/eV per cell: 4.92
E in eV/atom: -4.22
Crystal system: orthorhombic
Calculated volume in Å³ per cell: 108.1

a = 5.834 Å, b = 5.834 Å, c = 3.261 Å
α = 90.00°, β = 90.00°, γ = 103.05°
Fractional positions:
Na 0.000 0.000 0.000
Ce 0.500 0.500 0.000
Sn 0.000 0.500 0.500
Sn 0.500 0.000 0.500

Record 5
Computed, not measured: an optimized crystal structure of NaCe4Sn4 at the PBE-GGA level of DFT.

Density of states at the Fermi level in states/eV per cell: 35.40
E in eV/atom: -4.90
Crystal system: tetragonal
Calculated volume in Å³ per cell: 527.0

a = 8.925 Å, b = 8.925 Å, c = 6.617 Å
α = 90.00°, β = 90.00°, γ = 90.00°
Fractional positions:
Na 0.250 0.250 0.250
Na 0.750 0.750 0.750
Ce 0.014 0.644 0.085
Ce 0.144 0.986 0.585
Ce 0.356 0.514 0.585
Ce 0.486 0.856 0.085
Ce 0.514 0.144 0.915
Ce 0.644 0.486 0.415
Ce 0.856 0.014 0.415
Ce 0.986 0.356 0.915
Sn 0.025 0.650 0.577
Sn 0.150 0.975 0.077
Sn 0.350 0.525 0.077
Sn 0.475 0.850 0.577
Sn 0.525 0.150 0.423
Sn 0.650 0.475 0.923
Sn 0.850 0.025 0.923
Sn 0.975 0.350 0.423

Record 6
Computed, not measured: an optimized crystal structure of NaCeSn2 at the PBE-GGA level of DFT.

Density of states at the Fermi level in states/eV per cell: 5.01
E in eV/atom: -4.21
Crystal system: tetragonal
Calculated volume in Å³ per cell: 110.1

a = 5.573 Å, b = 5.573 Å, c = 3.546 Å
α = 90.00°, β = 90.00°, γ = 90.00°
Fractional positions:
Na 0.000 0.000 0.000
Ce 0.500 0.500 0.000
Sn 0.000 0.500 0.500
Sn 0.500 0.000 0.500

Record 7
Computed, not measured: an optimized crystal structure of NaCeSn2 at the PBE-GGA level of DFT.

Density of states at the Fermi level in states/eV per cell: 6.23
E in eV/atom: -4.18
Crystal system: tetragonal
Calculated volume in Å³ per cell: 108.2

a = 3.360 Å, b = 3.360 Å, c = 9.586 Å
α = 90.00°, β = 90.00°, γ = 90.00°
Fractional positions:
Na 0.000 0.000 0.000
Ce 0.000 0.000 0.500
Sn 0.500 0.500 0.252
Sn 0.500 0.500 0.748

Record 8
Computed, not measured: an optimized crystal structure of NaCe5Sn3 at the PBE-GGA level of DFT.

Density of states at the Fermi level in states/eV per cell: 48.00
E in eV/atom: -5.23
Crystal system: hexagonal
Calculated volume in Å³ per cell: 519.1

a = 9.552 Å, b = 9.552 Å, c = 6.569 Å
α = 90.00°, β = 90.00°, γ = 120.00°
Fractional positions:
Na 0.000 0.000 0.000
Na 0.000 0.000 0.500
Ce 0.000 0.328 0.250
Ce 0.000 0.672 0.750
Ce 0.328 0.000 0.250
Ce 0.328 0.328 0.750
Ce 0.333 0.667 0.000
Ce 0.333 0.667 0.500
Ce 0.667 0.333 0.000
Ce 0.667 0.333 0.500
Ce 0.672 0.000 0.750
Ce 0.672 0.672 0.250
Sn 0.000 0.340 0.750
Sn 0.000 0.660 0.250
Sn 0.340 0.000 0.750
Sn 0.340 0.340 0.250
Sn 0.660 0.000 0.250
Sn 0.660 0.660 0.750

Copy entry 7 word for word.
Computed, not measured: an optimized crystal structure of NaCeSn2 at the PBE-GGA level of DFT.

Density of states at the Fermi level in states/eV per cell: 6.23
E in eV/atom: -4.18
Crystal system: tetragonal
Calculated volume in Å³ per cell: 108.2

a = 3.360 Å, b = 3.360 Å, c = 9.586 Å
α = 90.00°, β = 90.00°, γ = 90.00°
Fractional positions:
Na 0.000 0.000 0.000
Ce 0.000 0.000 0.500
Sn 0.500 0.500 0.252
Sn 0.500 0.500 0.748

- Which of these has the lowest density of states at the Fermi level?
  number 4

- Number 3 is which compound?
  NaCeSn6